Material: K2MgMo
Method: DFT, GGA-PBE
State: relaxed

## Properties
VASP energy   -2.7605 eV/atom
Total magnetization   2.0 μB/cell
Energy relative to the elements   3.579 eV/f.u.
ρ   2.34 g/cm³

CIF file:
```
data_K2MgMo
_cell_length_a 2.9901
_cell_length_b 4.6342
_cell_length_c 10.1610
_cell_angle_alpha 90.00
_cell_angle_beta 90.38
_cell_angle_gamma 90.00
_symmetry_space_group_name_H-M 'P 1 m 1'
_symmetry_Int_Tables_number 6
loop_
_symmetry_equiv_pos_as_xyz
'x,y,z'
'x,-y,z'
loop_
_atom_site_label
_atom_site_fract_x
_atom_site_fract_y
_atom_site_fract_z
_atom_site_occupancy
K1 0.0000 0.0000 0.0000 1
K2 0.4911 0.5000 0.6004 1
Mg1 0.4872 0.5000 0.2586 1
Mo1 0.9887 0.0000 0.3431 1
```